CsHg13: relaxed, PBE.

## Properties
Crystal system = cubic
Raw total energy = -5.97 eV per formula unit
M_tot = 0.00 Bohr magnetons per cell
ρ = 10120 kg/m3

CIF file:
```
data_CsHg13
_chemical_formula_sum 'Cs8 Hg104'
_space_group_name_H-M_alt 'F m -3 c'
_space_group_IT_number 226
_space_group_name_Hall '-F 4a 2 3'
_cell_length_a 15.3226
_cell_length_b 15.3226
_cell_length_c 15.3226
_cell_angle_alpha 90.00
_cell_angle_beta 90.00
_cell_angle_gamma 90.00
loop_
_atom_site_label
_atom_site_type_symbol
_atom_site_fract_x
_atom_site_fract_y
_atom_site_fract_z
Cs1 Cs 0.2500 0.2500 0.2500
Hg1 Hg 0.0000 0.0000 0.0000
Hg2 Hg 0.0000 0.1215 0.1802
```


TbSn2Rh: relaxed, PBE.

## Properties
Crystal system = tetragonal
Raw total energy = -22.04 eV per formula unit
M_tot = 0.00 Bohr magnetons per cell
ρ = 9542 kg/m3

CIF file:
```
data_TbSn2Rh
_chemical_formula_sum 'Tb1 Sn2 Rh1'
_space_group_name_H-M_alt 'P 4/m m m'
_space_group_IT_number 123
_space_group_name_Hall '-P 4 2'
_cell_length_a 4.4089
_cell_length_b 4.4089
_cell_length_c 4.4696
_cell_angle_alpha 90.00
_cell_angle_beta 90.00
_cell_angle_gamma 90.00
loop_
_atom_site_label
_atom_site_type_symbol
_atom_site_fract_x
_atom_site_fract_y
_atom_site_fract_z
Tb1 Tb 0.0000 0.0000 0.0000
Sn1 Sn 0.0000 0.5000 0.5000
Rh1 Rh 0.5000 0.5000 0.0000
```


ZnRu5: relaxed, PBE.

## Properties
Crystal system = cubic
Raw total energy = -44.21 eV per formula unit
M_tot = 0.01 Bohr magnetons per cell
ρ = 10445 kg/m3

CIF file:
```
data_ZnRu5
_chemical_formula_sum 'Zn4 Ru20'
_space_group_name_H-M_alt 'F -4 3 m'
_space_group_IT_number 216
_space_group_name_Hall 'F -4 2 3'
_cell_length_a 7.1331
_cell_length_b 7.1331
_cell_length_c 7.1331
_cell_angle_alpha 90.00
_cell_angle_beta 90.00
_cell_angle_gamma 90.00
loop_
_atom_site_label
_atom_site_type_symbol
_atom_site_fract_x
_atom_site_fract_y
_atom_site_fract_z
Zn1 Zn 0.0000 0.0000 0.0000
Ru1 Ru 0.1251 0.1251 0.3749
Ru2 Ru 0.2500 0.2500 0.7500
```


Question: Which of these has the lowest raw total energy?
Answer: ZnRu5


Please write out number 3 again, unchanged.
ZnRu5: relaxed, PBE.

## Properties
Crystal system = cubic
Raw total energy = -44.21 eV per formula unit
M_tot = 0.01 Bohr magnetons per cell
ρ = 10445 kg/m3

CIF file:
```
data_ZnRu5
_chemical_formula_sum 'Zn4 Ru20'
_space_group_name_H-M_alt 'F -4 3 m'
_space_group_IT_number 216
_space_group_name_Hall 'F -4 2 3'
_cell_length_a 7.1331
_cell_length_b 7.1331
_cell_length_c 7.1331
_cell_angle_alpha 90.00
_cell_angle_beta 90.00
_cell_angle_gamma 90.00
loop_
_atom_site_label
_atom_site_type_symbol
_atom_site_fract_x
_atom_site_fract_y
_atom_site_fract_z
Zn1 Zn 0.0000 0.0000 0.0000
Ru1 Ru 0.1251 0.1251 0.3749
Ru2 Ru 0.2500 0.2500 0.7500
```


Question: Which of these has the highest raw total energy?
Answer: CsHg13